Entry 1:
A relaxed structure of MgAg2Rh, computed with PBE.

Cell and atoms, written as POSCAR:
```
MgAg2Rh
1.0
4.0308 0.0000 0.0000
0.0000 4.0308 0.0000
0.0000 0.0000 8.2550
Mg Ag Rh
2 4 2
Direct
0.0000 0.0000 0.0000 Mg
0.5000 0.5000 0.5000 Mg
0.0000 0.5000 0.2500 Ag
0.0000 0.5000 0.7500 Ag
0.5000 0.0000 0.2500 Ag
0.5000 0.0000 0.7500 Ag
0.0000 0.0000 0.5000 Rh
0.5000 0.5000 0.0000 Rh
```

## Properties
SG: I4/mmm (139)



Entry 2:
A relaxed structure of Mg2AgRh, computed with PBE.

Cell and atoms, written as POSCAR:
```
Mg2AgRh
1.0
7.1223 0.0000 0.0000
0.0000 7.1223 0.0000
0.0000 0.0000 5.7589
Mg Ag Rh
8 4 4
Direct
0.2387 0.2500 0.1250 Mg
0.2500 0.7387 0.3750 Mg
0.2500 0.7613 0.8750 Mg
0.2613 0.2500 0.6250 Mg
0.7387 0.7500 0.6250 Mg
0.7500 0.2387 0.8750 Mg
0.7500 0.2613 0.3750 Mg
0.7613 0.7500 0.1250 Mg
0.0000 0.0000 0.5000 Ag
0.0000 0.5000 0.7500 Ag
0.5000 0.0000 0.2500 Ag
0.5000 0.5000 0.0000 Ag
0.0000 0.0000 0.0000 Rh
0.0000 0.5000 0.2500 Rh
0.5000 0.0000 0.7500 Rh
0.5000 0.5000 0.5000 Rh
```

## Properties
SG: I-42d (122)



Entry 3:
A relaxed structure of Mg4Ag2Rh, computed with PBE.

Cell and atoms, written as POSCAR:
```
Mg4Ag2Rh
1.0
2.2836 1.3184 7.4353
-2.2836 1.3184 7.4353
0.0000 -2.6368 7.4353
Mg Ag Rh
4 2 1
Direct
0.1250 0.1250 0.1250 Mg
0.3746 0.3746 0.3746 Mg
0.6254 0.6254 0.6254 Mg
0.8750 0.8750 0.8750 Mg
0.2473 0.2473 0.2473 Ag
0.7527 0.7527 0.7527 Ag
0.5000 0.5000 0.5000 Rh
```

## Properties
SG: R-3m (166)



Total magnetic moment list, top to bottom, in μB/cell: 0.00, 0.00, 0.00
DFT formation energy list, top to bottom, in meV/atom: -97.1, -21.0, -265.6
E_tot list, top to bottom, in eV/cell: -30.07, -53.90, -21.29